CsAcHg GGA-PBE relaxed; E above lowest polymorph = 0.000 eV per atom; calculated density = 6.97 g cm⁻³; size of the total moment = 0.020 μB/cell
1.0
0.000 4.057 4.057
4.057 0.000 4.057
4.057 4.057 0.000
Cs Ac Hg
1 1 1
direct
0.000 0.000 0.000 Cs
0.250 0.250 0.250 Ac
0.500 0.500 0.500 Hg

CsAcLu GGA-PBE relaxed; E above lowest polymorph = 0.000 eV per atom; calculated density = 5.13 g cm⁻³; size of the total moment = 2.545 μB/cell
1.0
0.000 4.423 4.423
4.423 0.000 4.423
4.423 4.423 0.000
Cs Ac Lu
1 1 1
direct
0.000 0.000 0.000 Cs
0.500 0.500 0.500 Ac
0.750 0.750 0.750 Lu

CsAcLu GGA-PBE relaxed; E above lowest polymorph = 0.073 eV per atom; calculated density = 6.36 g cm⁻³; size of the total moment = 0.082 μB/cell
1.0
0.000 4.118 4.118
4.118 0.000 4.118
4.118 4.118 0.000
Cs Ac Lu
1 1 1
direct
0.000 0.000 0.000 Cs
0.750 0.750 0.750 Ac
0.250 0.250 0.250 Lu

CsAcMo GGA-PBE relaxed; E above lowest polymorph = 0.000 eV per atom; calculated density = 7.06 g cm⁻³; size of the total moment = 2.100 μB/cell
1.0
0.000 3.771 3.771
3.771 0.000 3.771
3.771 3.771 0.000
Cs Ac Mo
1 1 1
direct
0.000 0.000 0.000 Cs
0.500 0.500 0.500 Ac
0.750 0.750 0.750 Mo

CsAcMo GGA-PBE relaxed; E above lowest polymorph = 0.381 eV per atom; calculated density = 6.64 g cm⁻³; size of the total moment = 2.745 μB/cell
1.0
0.000 3.848 3.848
3.848 0.000 3.848
3.848 3.848 0.000
Cs Ac Mo
1 1 1
direct
0.000 0.000 0.000 Cs
0.750 0.750 0.750 Ac
0.250 0.250 0.250 Mo

CsAcNb GGA-PBE relaxed; E above lowest polymorph = 0.000 eV per atom; calculated density = 5.40 g cm⁻³; size of the total moment = 4.339 μB/cell
1.0
0.000 4.113 4.113
4.113 0.000 4.113
4.113 4.113 0.000
Cs Ac Nb
1 1 1
direct
0.000 0.000 0.000 Cs
0.500 0.500 0.500 Ac
0.750 0.750 0.750 Nb

CsAcNd GGA-PBE relaxed; E above lowest polymorph = 0.003 eV per atom; calculated density = 5.83 g cm⁻³; size of the total moment = 0.005 μB/cell
1.0
0.000 4.155 4.155
4.155 0.000 4.155
4.155 4.155 0.000
Cs Ac Nd
1 1 1
direct
0.000 0.000 0.000 Cs
0.250 0.250 0.250 Ac
0.750 0.750 0.750 Nd

CsAcNd GGA-PBE relaxed; E above lowest polymorph = 0.000 eV per atom; calculated density = 4.65 g cm⁻³; size of the total moment = 3.800 μB/cell
1.0
0.000 4.483 4.483
4.483 0.000 4.483
4.483 4.483 0.000
Cs Ac Nd
1 1 1
direct
0.000 0.000 0.000 Cs
0.500 0.500 0.500 Ac
0.250 0.250 0.250 Nd

CsAcNi GGA-PBE relaxed; E above lowest polymorph = 0.623 eV per atom; calculated density = 6.82 g cm⁻³; size of the total moment = 0.002 μB/cell
1.0
0.000 3.708 3.708
3.708 0.000 3.708
3.708 3.708 0.000
Cs Ac Ni
1 1 1
direct
0.000 0.000 0.000 Cs
0.750 0.750 0.750 Ac
0.250 0.250 0.250 Ni

CsAcNi GGA-PBE relaxed; E above lowest polymorph = 0.000 eV per atom; calculated density = 6.47 g cm⁻³; size of the total moment = 0.004 μB/cell
1.0
0.000 3.774 3.774
3.774 0.000 3.774
3.774 3.774 0.000
Cs Ac Ni
1 1 1
direct
0.000 0.000 0.000 Cs
0.500 0.500 0.500 Ac
0.250 0.250 0.250 Ni

CsAcOs GGA-PBE relaxed; E above lowest polymorph = 0.838 eV per atom; calculated density = 9.54 g cm⁻³; size of the total moment = 0.008 μB/cell
1.0
0.000 3.631 3.631
3.631 0.000 3.631
3.631 3.631 0.000
Cs Ac Os
1 1 1
direct
0.000 0.000 0.000 Cs
0.750 0.750 0.750 Ac
0.250 0.250 0.250 Os

CsAcOs GGA-PBE relaxed; E above lowest polymorph = 0.000 eV per atom; calculated density = 9.02 g cm⁻³; size of the total moment = 0.001 μB/cell
1.0
0.000 3.700 3.700
3.700 0.000 3.700
3.700 3.700 0.000
Cs Ac Os
1 1 1
direct
0.000 0.000 0.000 Cs
0.500 0.500 0.500 Ac
0.750 0.750 0.750 Os

CsAcPt GGA-PBE relaxed; E above lowest polymorph = 0.000 eV per atom; calculated density = 8.30 g cm⁻³; size of the total moment = 0.007 μB/cell
1.0
0.000 3.815 3.815
3.815 0.000 3.815
3.815 3.815 0.000
Cs Ac Pt
1 1 1
direct
0.000 0.000 0.000 Cs
0.500 0.500 0.500 Ac
0.750 0.750 0.750 Pt

CsAcPt GGA-PBE relaxed; E above lowest polymorph = 0.710 eV per atom; calculated density = 9.07 g cm⁻³; size of the total moment = 0.002 μB/cell
1.0
0.000 3.704 3.704
3.704 0.000 3.704
3.704 3.704 0.000
Cs Ac Pt
1 1 1
direct
0.000 0.000 0.000 Cs
0.250 0.250 0.250 Ac
0.750 0.750 0.750 Pt

CsAcRe GGA-PBE relaxed; E above lowest polymorph = 0.000 eV per atom; calculated density = 8.62 g cm⁻³; size of the total moment = 1.014 μB/cell
1.0
0.000 3.747 3.747
3.747 0.000 3.747
3.747 3.747 0.000
Cs Ac Re
1 1 1
direct
0.000 0.000 0.000 Cs
0.500 0.500 0.500 Ac
0.250 0.250 0.250 Re

CsAcRe GGA-PBE relaxed; E above lowest polymorph = 0.645 eV per atom; calculated density = 8.60 g cm⁻³; size of the total moment = 2.732 μB/cell
1.0
0.000 3.750 3.750
3.750 0.000 3.750
3.750 3.750 0.000
Cs Ac Re
1 1 1
direct
0.000 0.000 0.000 Cs
0.750 0.750 0.750 Ac
0.250 0.250 0.250 Re

CsAcTa GGA-PBE relaxed; E above lowest polymorph = 0.157 eV per atom; calculated density = 8.07 g cm⁻³; size of the total moment = 1.487 μB/cell
1.0
0.000 3.818 3.818
3.818 0.000 3.818
3.818 3.818 0.000
Cs Ac Ta
1 1 1
direct
0.000 0.000 0.000 Cs
0.750 0.750 0.750 Ac
0.250 0.250 0.250 Ta